Here is an optimized crystal structure of Cs2CI6Br from Alexandria. Energies are from PBE.

```
Cs2CI6Br
1.0
-3.8865 3.8865 6.8466
3.8865 -3.8865 6.8466
3.8865 3.8865 -6.8466
Cs C I Br
2 1 6 1
Direct
0.2500 0.7500 0.5000
0.7500 0.2500 0.5000
0.0000 0.0000 0.0000
0.2065 0.2065 0.0000
0.2289 0.2289 0.4578
0.2289 0.7711 0.0000
0.7711 0.2289 0.0000
0.7711 0.7711 0.5422
0.7935 0.7935 0.0000
0.5000 0.5000 0.0000
```

Properties
Energy relative to the elements, uncorrected = -0.09 eV per atom
Total magnetization = 0.0 μB/cell
Space-group type = I4/mmm, No. 139

Here is an optimized crystal structure of Cs2CIBr6 from Alexandria. Energies are from PBE.

```
Cs2CIBr6
1.0
-3.9213 3.9213 5.3901
3.9213 -3.9213 5.3901
3.9213 3.9213 -5.3901
Cs C I Br
2 1 1 6
Direct
0.2500 0.7500 0.5000
0.7500 0.2500 0.5000
0.0000 0.0000 0.0000
0.5000 0.5000 0.0000
0.2178 0.2178 0.4356
0.2178 0.7822 0.0000
0.2256 0.2256 0.0000
0.7744 0.7744 0.0000
0.7822 0.2178 0.0000
0.7822 0.7822 0.5644
```

Properties
Energy relative to the elements, uncorrected = -0.26 eV per atom
Total magnetization = 0.0 μB/cell
Space-group type = I4/mmm, No. 139

Here is an optimized crystal structure of Cs2InCBr6 from Alexandria. Energies are from PBE.

```
Cs2InCBr6
1.0
-3.8208 3.8208 5.3912
3.8208 -3.8208 5.3912
3.8208 3.8208 -5.3912
Cs In C Br
2 1 1 6
Direct
0.2500 0.7500 0.5000
0.7500 0.2500 0.5000
0.0000 0.0000 0.0000
0.5000 0.5000 0.0000
0.2617 0.2617 0.0000
0.2629 0.2629 0.5258
0.2629 0.7371 0.0000
0.7371 0.2629 0.0000
0.7371 0.7371 0.4742
0.7383 0.7383 0.0000
```

Properties
Energy relative to the elements, uncorrected = -0.51 eV per atom
Total magnetization = 0.0 μB/cell
Space-group type = I4/mmm, No. 139

Here is an optimized crystal structure of Cs2MgCBr6 from Alexandria. Energies are from PBE.

```
Cs2MgCBr6
1.0
0.0000 5.3113 5.3113
5.3113 0.0000 5.3113
5.3113 5.3113 0.0000
Cs Mg C Br
2 1 1 6
Direct
0.2500 0.2500 0.2500
0.7500 0.7500 0.7500
0.0000 0.0000 0.0000
0.5000 0.5000 0.5000
0.2587 0.2587 0.7413
0.2587 0.7413 0.2587
0.2587 0.7413 0.7413
0.7413 0.2587 0.2587
0.7413 0.2587 0.7413
0.7413 0.7413 0.2587
```

Properties
Energy relative to the elements, uncorrected = -0.65 eV per atom
Total magnetization = 0.0 μB/cell
Space-group type = Fm-3m, No. 225

Here is an optimized crystal structure of Cs2NaCBr6 from Alexandria. Energies are from PBE.

```
Cs2NaCBr6
1.0
0.0000 5.4531 5.4531
5.4531 0.0000 5.4531
5.4531 5.4531 0.0000
Cs Na C Br
2 1 1 6
Direct
0.2500 0.2500 0.2500
0.7500 0.7500 0.7500
0.0000 0.0000 0.0000
0.5000 0.5000 0.5000
0.2739 0.2739 0.7261
0.2739 0.7261 0.2739
0.2739 0.7261 0.7261
0.7261 0.2739 0.2739
0.7261 0.2739 0.7261
0.7261 0.7261 0.2739
```

Properties
Energy relative to the elements, uncorrected = -0.51 eV per atom
Total magnetization = 0.0 μB/cell
Space-group type = Fm-3m, No. 225

Here is an optimized crystal structure of Cs2NbCBr6 from Alexandria. Energies are from PBE.

```
Cs2NbCBr6
1.0
-3.7410 3.7410 6.0432
3.7410 -3.7410 6.0432
3.7410 3.7410 -6.0432
Cs Nb C Br
2 1 1 6
Direct
0.2500 0.7500 0.5000
0.7500 0.2500 0.5000
0.0000 0.0000 0.0000
0.5000 0.5000 0.0000
0.2169 0.2169 0.0000
0.2503 0.2503 0.5006
0.2503 0.7497 0.0000
0.7497 0.2503 0.0000
0.7497 0.7497 0.4994
0.7831 0.7831 0.0000
```

Properties
Energy relative to the elements, uncorrected = -0.47 eV per atom
Total magnetization = 3.0 μB/cell
Space-group type = I4/mmm, No. 139

Here is an optimized crystal structure of Cs2PdCBr6 from Alexandria. Energies are from PBE.

```
Cs2PdCBr6
1.0
-3.6927 3.6927 5.2257
3.6927 -3.6927 5.2257
3.6927 3.6927 -5.2257
Cs Pd C Br
2 1 1 6
Direct
0.2500 0.7500 0.5000
0.7500 0.2500 0.5000
0.0000 0.0000 0.0000
0.5000 0.5000 0.0000
0.2541 0.2541 0.5081
0.2541 0.7459 0.0000
0.2560 0.2560 0.0000
0.7440 0.7440 0.0000
0.7459 0.2541 0.0000
0.7459 0.7459 0.4919
```

Properties
Energy relative to the elements, uncorrected = -0.33 eV per atom
Total magnetization = 0.0 μB/cell
Space-group type = I4/mmm, No. 139

Here is an optimized crystal structure of Cs2ReCBr6 from Alexandria. Energies are from PBE.

```
Cs2ReCBr6
1.0
-3.7507 3.7507 5.8810
3.7507 -3.7507 5.8810
3.7507 3.7507 -5.8810
Cs Re C Br
2 1 1 6
Direct
0.2500 0.7500 0.5000
0.7500 0.2500 0.5000
0.0000 0.0000 0.0000
0.5000 0.5000 0.0000
0.2158 0.2158 0.0000
0.2449 0.2449 0.4897
0.2449 0.7551 0.0000
0.7551 0.2449 0.0000
0.7551 0.7551 0.5103
0.7842 0.7842 0.0000
```

Properties
Energy relative to the elements, uncorrected = -0.21 eV per atom
Total magnetization = 5.0 μB/cell
Space-group type = I4/mmm, No. 139

Here is an optimized crystal structure of Cs2RuCBr6 from Alexandria. Energies are from PBE.

```
Cs2RuCBr6
1.0
-3.6172 3.6172 5.9759
3.6172 -3.6172 5.9759
3.6172 3.6172 -5.9759
Cs Ru C Br
2 1 1 6
Direct
0.2500 0.7500 0.5000
0.7500 0.2500 0.5000
0.0000 0.0000 0.0000
0.5000 0.5000 0.0000
0.2105 0.2105 0.0000
0.2551 0.2551 0.5102
0.2551 0.7449 0.0000
0.7449 0.2551 0.0000
0.7449 0.7449 0.4898
0.7895 0.7895 0.0000
```

Properties
Energy relative to the elements, uncorrected = -0.23 eV per atom
Total magnetization = 3.0 μB/cell
Space-group type = I4/mmm, No. 139

Here is an optimized crystal structure of CsCSeBr2 from Alexandria. Energies are from PBE.

```
CsCSeBr2
1.0
6.1204 0.0000 0.0000
0.0000 6.1204 0.0000
0.0000 0.0000 3.9198
Cs C Se Br
1 1 1 2
Direct
0.0000 0.0000 0.0000
0.5000 0.5000 0.5000
0.5000 0.5000 0.0000
0.0000 0.5000 0.5000
0.5000 0.0000 0.5000
```

Properties
Energy relative to the elements, uncorrected = 0.30 eV per atom
Total magnetization = 0.0 μB/cell
Space-group type = P4/mmm, No. 123

Here is an optimized crystal structure of Cs2SiCBr6 from Alexandria. Energies are from PBE.

```
Cs2SiCBr6
1.0
-3.7254 3.7254 5.2569
3.7254 -3.7254 5.2569
3.7254 3.7254 -5.2569
Cs Si C Br
2 1 1 6
Direct
0.2500 0.7500 0.5000
0.7500 0.2500 0.5000
0.0000 0.0000 0.0000
0.5000 0.5000 0.0000
0.2520 0.2520 0.0000
0.2533 0.2533 0.5067
0.2533 0.7467 0.0000
0.7467 0.2533 0.0000
0.7467 0.7467 0.4933
0.7480 0.7480 0.0000
```

Properties
Energy relative to the elements, uncorrected = -0.39 eV per atom
Total magnetization = 0.0 μB/cell
Space-group type = I4/mmm, No. 139

Here is an optimized crystal structure of Cs2SnCBr6 from Alexandria. Energies are from PBE.

```
Cs2SnCBr6
1.0
-3.8555 3.8555 5.4468
3.8555 -3.8555 5.4468
3.8555 3.8555 -5.4468
Cs Sn C Br
2 1 1 6
Direct
0.2500 0.7500 0.5000
0.7500 0.2500 0.5000
0.0000 0.0000 0.0000
0.5000 0.5000 0.0000
0.2662 0.2662 0.0000
0.2667 0.2667 0.5334
0.2667 0.7333 0.0000
0.7333 0.2667 0.0000
0.7333 0.7333 0.4666
0.7338 0.7338 0.0000
```

Properties
Energy relative to the elements, uncorrected = -0.52 eV per atom
Total magnetization = 0.0 μB/cell
Space-group type = I4/mmm, No. 139

Here is an optimized crystal structure of CsTaC2Br from Alexandria. Energies are from PBE.

```
CsTaC2Br
1.0
4.3348 0.0000 0.0000
0.0000 4.3348 0.0000
0.0000 0.0000 12.4396
Cs Ta C Br
1 1 2 1
Direct
0.0000 0.0000 0.0000
0.0000 0.0000 0.5000
0.0000 0.5000 0.5000
0.5000 0.0000 0.5000
0.5000 0.5000 0.0000
```

Properties
Energy relative to the elements, uncorrected = 1.23 eV per atom
Total magnetization = 0.0 μB/cell
Space-group type = P4/mmm, No. 123

Here is an optimized crystal structure of Cs2TlCBr6 from Alexandria. Energies are from PBE.

```
Cs2TlCBr6
1.0
-3.8745 3.8745 5.4413
3.8745 -3.8745 5.4413
3.8745 3.8745 -5.4413
Cs Tl C Br
2 1 1 6
Direct
0.2500 0.7500 0.5000
0.7500 0.2500 0.5000
0.0000 0.0000 0.0000
0.5000 0.5000 0.0000
0.2703 0.2703 0.0000
0.2708 0.2708 0.5416
0.2708 0.7292 0.0000
0.7292 0.2708 0.0000
0.7292 0.7292 0.4584
0.7297 0.7297 0.0000
```

Properties
Energy relative to the elements, uncorrected = -0.46 eV per atom
Total magnetization = 0.0 μB/cell
Space-group type = I4/mmm, No. 139

Here is an optimized crystal structure of Cs2VCBr6 from Alexandria. Energies are from PBE.

```
Cs2VCBr6
1.0
-3.6204 3.6204 6.1016
3.6204 -3.6204 6.1016
3.6204 3.6204 -6.1016
Cs V C Br
2 1 1 6
Direct
0.2500 0.7500 0.5000
0.7500 0.2500 0.5000
0.0000 0.0000 0.0000
0.5000 0.5000 0.0000
0.2066 0.2066 0.0000
0.2573 0.2573 0.5145
0.2573 0.7427 0.0000
0.7427 0.2573 0.0000
0.7427 0.7427 0.4855
0.7934 0.7934 0.0000
```

Properties
Energy relative to the elements, uncorrected = -0.48 eV per atom
Total magnetization = 3.0 μB/cell
Space-group type = I4/mmm, No. 139

Here is an optimized crystal structure of Cs2ZnCBr from Alexandria. Energies are from PBE.

```
Cs2ZnCBr
1.0
6.9466 0.0000 0.0000
0.0000 6.9466 0.0000
0.0000 0.0000 5.5874
Cs Zn C Br
2 1 1 1
Direct
0.0000 0.5000 0.0000
0.5000 0.0000 0.0000
0.0000 0.0000 0.0000
0.5000 0.5000 0.5000
0.0000 0.0000 0.5000
```

Properties
Energy relative to the elements, uncorrected = 0.79 eV per atom
Total magnetization = 3.0 μB/cell
Space-group type = P4/mmm, No. 123

Here is an optimized crystal structure of CsZnCBr2 from Alexandria. Energies are from PBE.

```
CsZnCBr2
1.0
5.8934 0.0000 0.0000
0.0000 5.8934 0.0000
0.0000 0.0000 3.8618
Cs Zn C Br
1 1 1 2
Direct
0.0000 0.0000 0.0000
0.5000 0.5000 0.0000
0.5000 0.5000 0.5000
0.0000 0.5000 0.5000
0.5000 0.0000 0.5000
```

Properties
Energy relative to the elements, uncorrected = 0.08 eV per atom
Total magnetization = 0.0 μB/cell
Space-group type = P4/mmm, No. 123

Here is an optimized crystal structure of Cu3CBr from Alexandria. Energies are from PBE.

```
Cu3CBr
1.0
4.0718 0.0000 0.0000
0.0000 4.0718 0.0000
0.0000 0.0000 4.0718
Cu C Br
3 1 1
Direct
0.0000 0.0000 0.5000
0.0000 0.5000 0.0000
0.5000 0.0000 0.0000
0.0000 0.0000 0.0000
0.5000 0.5000 0.5000
```

Properties
Energy relative to the elements, uncorrected = 0.66 eV per atom
Total magnetization = 0.0 μB/cell
Offset from the most stable computed form = 0 meV/atom
Space-group type = Pm-3m, No. 221

Here is an optimized crystal structure of Cu3CBr from Alexandria. Energies are from PBE.

```
Cu3CBr
1.0
4.6255 0.0000 0.0000
0.0000 4.6255 0.0000
0.0000 0.0000 4.6255
Cu C Br
3 1 1
Direct
0.0000 0.0000 0.5000
0.0000 0.5000 0.0000
0.5000 0.0000 0.0000
0.5000 0.5000 0.5000
0.0000 0.0000 0.0000
```

Properties
Energy relative to the elements, uncorrected = 2.06 eV per atom
Total magnetization = 2.0 μB/cell
Offset from the most stable computed form = 1400 meV/atom
Space-group type = Pm-3m, No. 221

Here is an optimized crystal structure of Cu2HCBr from Alexandria. Energies are from PBE.

```
Cu2HCBr
1.0
4.6864 0.0000 0.0000
0.0000 4.6864 0.0000
0.0000 0.0000 3.1995
Cu H C Br
2 1 1 1
Direct
0.0000 0.5000 0.0000
0.5000 0.0000 0.0000
0.0000 0.0000 0.5000
0.5000 0.5000 0.5000
0.0000 0.0000 0.0000
```

Properties
Total magnetization = 0.0 μB/cell
Space-group type = P4/mmm, No. 123

Here is an optimized crystal structure of CuH2CBrN2 from Alexandria. Energies are from PBE.

```
CuH2CBrN2
1.0
8.6691 0.0000 0.0000
0.0000 3.8709 0.0000
0.0000 0.0000 12.9514
Cu H C Br N
4 8 4 4 8
Direct
0.1191 0.2500 0.0549
0.3809 0.7500 0.5549
0.6191 0.2500 0.4451
0.8809 0.7500 0.9451
0.1255 0.2500 0.2774
0.1923 0.2500 0.4052
0.3077 0.7500 0.9052
0.3745 0.7500 0.7774
0.6255 0.2500 0.2226
0.6923 0.2500 0.0948
0.8077 0.7500 0.5948
0.8745 0.7500 0.7226
0.0403 0.7500 0.6134
0.4597 0.2500 0.1134
0.5403 0.7500 0.8866
0.9597 0.2500 0.3866
0.0334 0.2500 0.8695
0.4666 0.7500 0.3695
0.5334 0.2500 0.6305
0.9666 0.7500 0.1305
0.1025 0.2500 0.3546
0.1694 0.7500 0.5857
0.3306 0.2500 0.0857
0.3975 0.7500 0.8546
0.6025 0.2500 0.1454
0.6694 0.7500 0.9143
0.8306 0.2500 0.4143
0.8975 0.7500 0.6454
```

Properties
Total magnetization = 0.0 μB/cell
Space-group type = Pnma, No. 62

Here is an optimized crystal structure of Cu2IrCBr from Alexandria. Energies are from PBE.

```
Cu2IrCBr
1.0
4.4641 0.0000 0.0000
0.0000 4.4641 0.0000
0.0000 0.0000 4.7484
Cu Ir C Br
2 1 1 1
Direct
0.0000 0.5000 0.0000
0.5000 0.0000 0.0000
0.0000 0.0000 0.5000
0.5000 0.5000 0.5000
0.0000 0.0000 0.0000
```

Properties
Energy relative to the elements, uncorrected = 2.44 eV per atom
Total magnetization = 1.2 μB/cell
Space-group type = P4/mmm, No. 123

Here is an optimized crystal structure of KCuCBr2 from Alexandria. Energies are from PBE.

```
KCuCBr2
1.0
4.8526 0.0000 0.0000
0.0000 4.8526 0.0000
0.0000 0.0000 6.8026
K Cu C Br
1 1 1 2
Direct
0.0000 0.0000 0.0000
0.0000 0.0000 0.5000
0.5000 0.5000 0.0000
0.0000 0.5000 0.5000
0.5000 0.0000 0.5000
```

Properties
Energy relative to the elements, uncorrected = 0.87 eV per atom
Total magnetization = 2.4 μB/cell
Space-group type = P4/mmm, No. 123

Here is an optimized crystal structure of La4CuCBr2 from Alexandria. Energies are from PBE.

```
La4CuCBr2
1.0
7.2816 0.0000 0.0000
0.0000 4.0121 0.0000
-2.2893 0.0000 7.5220
La Cu C Br
4 1 1 2
Direct
0.2025 0.0000 0.1921
0.2388 0.5000 0.7976
0.7612 0.5000 0.2024
0.7975 0.0000 0.8079
0.5000 0.0000 0.0000
0.0000 0.5000 0.0000
0.0000 0.0000 0.5000
0.5000 0.5000 0.5000
```

Properties
Energy relative to the elements, uncorrected = -0.75 eV per atom
Total magnetization = 0.0 μB/cell
Space-group type = P2/m, No. 10

Values of E, in order: -22.8; -25.1; -28.9; -29.0; -27.4; -35.7; -29.5; -35.5; -32.6; -15.4; -30.3; -30.2; -26.7; -27.9; -34.9; -9.9; -14.3; -19.9; -12.9; -13.4; -155.9; -15.8; -13.4; -42.4, all in eV per cell.